(1)
Compound: Sc6AsO12
Source: Alexandria via LeMat-Bulk
Functional: PBE
Structure: optimized geometry

a = 9.1971 Å, b = 9.1971 Å, c = 8.7379 Å
α = 90.00°, β = 90.00°, γ = 120.00°
Space group R-3 (No. 148, hexagonal axes)
Symmetry-distinct sites (fractional):
1 Sc 0.0441 0.2573 0.1465 x18
2 As 0.0000 0.0000 0.5000 x3
3 O 0.0304 0.2203 0.8984 x18
4 O 0.0374 0.1885 0.3869 x18

Computed properties:
- VASP energy (eV per cell) = -476.627
- calculated volume (Å³/cell) = 640.1
- uncorrected formation energy (meV/atom) = -2986
- total magnetization (μB per atom) = 0.040



(2)
Compound: Na2LiInF8
Source: Alexandria via LeMat-Bulk
Functional: PBE
Structure: optimized geometry

a = 4.5262 Å, b = 5.3809 Å, c = 6.8455 Å
α = 76.19°, β = 85.22°, γ = 89.53°
Space group P-1 (No. 2)
Symmetry-distinct sites (fractional):
1 Na 0.0121 0.4031 0.2393 x2
2 Li 0.5000 0.0000 0.5000 x1
3 In 0.5000 0.0000 0.0000 x1
4 F 0.0937 0.9022 0.4324 x2
5 F 0.1316 0.2348 0.9719 x2
6 F 0.3556 0.7014 0.2739 x2
7 F 0.4241 0.8072 0.7709 x2

Computed properties:
- VASP energy (eV per cell) = -48.745
- calculated volume (Å³/cell) = 161.3
- uncorrected formation energy (meV/atom) = -2207
- total magnetization (μB per atom) = 0.009